Entry from Alexandria: a relaxed Nd2DyY6Tm crystal (PBE).

Cell lengths 9.0803, 15.0430, 9.7695 Å; angles 90.00, 99.66, 90.00 degrees
Space group C2/c (No. 15)
Asymmetric unit:
Nd 0.2445 0.0502 0.0445 [8 per cell]
Dy 0.0000 0.0183 0.7500 [4 per cell]
Y 0.0652 0.1887 0.4432 [8 per cell]
Y 0.1011 0.3957 0.6178 [8 per cell]
Y 0.2034 0.2215 0.8131 [8 per cell]
Tm 0.0000 0.4064 0.2500 [4 per cell]

Values from the calculation:
V, Å³ per cell: 1315.5
Spin magnetization, μB per formula unit: 0.0
Energy of formation from the pure elements, eV/atom: 0.112
Total DFT energy (no corrections), hartree per atom: -0.207

***

Entry from Alexandria: a relaxed NdDyY6Tm2 crystal (PBE).

Cell lengths 9.1605, 14.9202, 9.6236 Å; angles 90.00, 98.21, 90.00 degrees
Space group C2/c (No. 15)
Asymmetric unit:
Nd 0.0000 0.0933 0.2500 [4 per cell]
Dy 0.0000 0.4738 0.7500 [4 per cell]
Y 0.0641 0.3186 0.4440 [8 per cell]
Y 0.0988 0.1062 0.6181 [8 per cell]
Y 0.2044 0.2749 0.8184 [8 per cell]
Tm 0.2437 0.4498 0.0471 [8 per cell]

Values from the calculation:
V, Å³ per cell: 1301.8
Spin magnetization, μB per formula unit: 0.0
Energy of formation from the pure elements, eV/atom: 0.122
Total DFT energy (no corrections), hartree per atom: -0.205

***

Entry from Alexandria: a relaxed Nd2Dy6Y3Tm crystal (PBE).

Cell lengths 6.1807, 10.6971, 11.8315 Å; angles 90.00, 99.97, 90.00 degrees
Space group C2/m (No. 12)
Asymmetric unit:
Nd 0.0000 0.1666 0.0000 [4 per cell]
Dy 0.2481 0.5000 0.7487 [4 per cell]
Dy 0.2498 0.1661 0.7489 [8 per cell]
Y 0.0000 0.0000 0.5000 [2 per cell]
Y 0.0000 0.3337 0.5000 [4 per cell]
Tm 0.0000 0.5000 0.0000 [2 per cell]

Values from the calculation:
V, Å³ per cell: 770.4
Spin magnetization, μB per formula unit: 0.0
Energy of formation from the pure elements, eV/atom: 0.018
Total DFT energy (no corrections), hartree per atom: -0.186

***

Entry from Alexandria: a relaxed Nd2DyY3Tm6 crystal (PBE).

Cell lengths 6.1490, 10.6390, 11.7179 Å; angles 90.00, 100.05, 90.00 degrees
Space group C2/m (No. 12)
Asymmetric unit:
Nd 0.0000 0.1667 0.0000 [4 per cell]
Dy 0.0000 0.5000 0.0000 [2 per cell]
Y 0.0000 0.0000 0.5000 [2 per cell]
Y 0.0000 0.3335 0.5000 [4 per cell]
Tm 0.2480 0.5000 0.7486 [4 per cell]
Tm 0.2490 0.1664 0.7487 [8 per cell]

Values from the calculation:
V, Å³ per cell: 754.8
Spin magnetization, μB per formula unit: 0.0
Energy of formation from the pure elements, eV/atom: 0.025
Total DFT energy (no corrections), hartree per atom: -0.184

***

Entry from Alexandria: a relaxed Nd2Dy2Y2Tm crystal (PBE).

Cell lengths 11.7682, 3.5216, 11.8265 Å; angles 90.00, 108.77, 90.00 degrees
Space group C2/m (No. 12)
Asymmetric unit:
Nd 0.1728 0.0000 0.0866 [4 per cell]
Dy 0.2289 0.5000 0.3657 [4 per cell]
Y 0.0484 0.0000 0.7695 [4 per cell]
Tm 0.0000 0.5000 0.5000 [2 per cell]

Values from the calculation:
V, Å³ per cell: 464.1
Spin magnetization, μB per formula unit: 0.0
Energy of formation from the pure elements, eV/atom: 0.086
Total DFT energy (no corrections), hartree per atom: -0.187

***

Entry from Alexandria: a relaxed Nd6DyY2Tm3 crystal (PBE).

Cell lengths 6.2623, 10.8440, 11.8066 Å; angles 90.00, 100.15, 90.00 degrees
Space group C2/m (No. 12)
Asymmetric unit:
Nd 0.2485 0.0000 0.2477 [4 per cell]
Nd 0.2504 0.1663 0.7523 [8 per cell]
Dy 0.0000 0.0000 0.5000 [2 per cell]
Y 0.0000 0.3334 0.5000 [4 per cell]
Tm 0.0000 0.1667 0.0000 [4 per cell]
Tm 0.0000 0.5000 0.0000 [2 per cell]

Values from the calculation:
V, Å³ per cell: 789.2
Spin magnetization, μB per formula unit: 0.0
Energy of formation from the pure elements, eV/atom: 0.013
Total DFT energy (no corrections), hartree per atom: -0.182

***

Entry from Alexandria: a relaxed Nd4Dy2Y2Tm crystal (PBE).

Cell lengths 15.2986, 5.1036, 8.0591 Å; angles 90.00, 108.50, 90.00 degrees
Space group C2/m (No. 12)
Asymmetric unit:
Nd 0.0545 0.0000 0.3300 [4 per cell]
Nd 0.2220 0.5000 0.3312 [4 per cell]
Dy 0.1665 0.0000 0.0000 [4 per cell]
Y 0.1116 0.5000 0.6703 [4 per cell]
Tm 0.0000 0.5000 0.0000 [2 per cell]

Values from the calculation:
V, Å³ per cell: 596.7
Spin magnetization, μB per formula unit: 0.0
Energy of formation from the pure elements, eV/atom: 0.020
Total DFT energy (no corrections), hartree per atom: -0.186

***

Entry from Alexandria: a relaxed Nd2DyY2Tm2 crystal (PBE).

Cell lengths 11.7323, 3.5120, 11.8096 Å; angles 90.00, 108.80, 90.00 degrees
Space group C2/m (No. 12)
Asymmetric unit:
Nd 0.1720 0.0000 0.0858 [4 per cell]
Dy 0.0000 0.5000 0.5000 [2 per cell]
Y 0.0483 0.0000 0.7696 [4 per cell]
Tm 0.2282 0.5000 0.3659 [4 per cell]

Values from the calculation:
V, Å³ per cell: 460.6
Spin magnetization, μB per formula unit: 0.0
Energy of formation from the pure elements, eV/atom: 0.086
Total DFT energy (no corrections), hartree per atom: -0.186